Entry from Alexandria via LeMat-Bulk: Sc2SO6 after structural relaxation (PBE).

Cell and atoms, written as POSCAR:
```
Sc2SO6
1.0
6.160 -0.308 3.107
3.563 6.933 0.130
-0.656 -0.918 7.714
O Sc S
12 4 2
Direct
0.466 0.669 0.172 O
0.253 0.776 0.987 O
0.034 0.828 0.331 O
0.247 0.013 0.224 O
0.284 0.650 0.579 O
0.753 0.987 0.776 O
0.784 0.579 0.650 O
0.216 0.421 0.350 O
0.966 0.172 0.669 O
0.716 0.350 0.421 O
0.747 0.224 0.013 O
0.534 0.331 0.828 O
0.990 0.705 0.562 Sc
0.010 0.295 0.438 Sc
0.490 0.562 0.705 Sc
0.510 0.438 0.295 Sc
0.250 0.822 0.178 S
0.750 0.178 0.822 S
```

***

Entry from Alexandria via LeMat-Bulk: ScSO4 after structural relaxation (PBE).

Cell and atoms, written as POSCAR:
```
ScSO4
1.0
-2.754 -2.999 1.191
-1.217 -3.340 -3.672
4.910 -1.225 0.712
Sc O S
1 4 1
Direct
0.750 0.500 0.500 Sc
0.115 0.186 0.818 O
0.482 0.814 0.182 O
0.699 0.818 0.814 O
0.704 0.182 0.186 O
0.500 0.000 0.000 S
```

***

Entry from Alexandria via LeMat-Bulk: ScSO3 after structural relaxation (PBE).

Cell and atoms, written as POSCAR:
```
ScSO3
1.0
3.774 0.000 0.000
0.000 3.774 0.000
0.000 0.000 3.774
Sc O S
1 3 1
Direct
0.500 0.500 0.500 Sc
0.500 0.000 0.000 O
0.000 0.000 0.500 O
0.000 0.500 0.000 O
0.000 0.000 0.000 S
```

***

Entry from Alexandria via LeMat-Bulk: Sc2S2O after structural relaxation (PBE).

Cell and atoms, written as POSCAR:
```
Sc2S2O
1.0
-1.135 -1.604 -2.601
0.273 -3.811 4.274
-8.690 2.144 2.468
Sc O S
4 2 4
Direct
0.980 0.960 0.403 Sc
0.223 0.445 0.120 Sc
0.020 0.040 0.903 Sc
0.777 0.555 0.620 Sc
0.379 0.758 0.491 O
0.621 0.242 0.991 O
0.898 0.797 0.144 S
0.349 0.698 0.827 S
0.102 0.203 0.644 S
0.651 0.302 0.327 S
```

***

Entry from Alexandria via LeMat-Bulk: Sc3S3O after structural relaxation (PBE).

Cell and atoms, written as POSCAR:
```
Sc3S3O
1.0
5.162 0.000 0.000
0.000 7.988 -0.003
0.000 -3.983 6.924
Sc O S
6 2 6
Direct
0.250 0.814 0.627 Sc
0.750 0.186 0.373 Sc
0.750 0.627 0.813 Sc
0.750 0.187 0.814 Sc
0.250 0.813 0.186 Sc
0.250 0.373 0.187 Sc
0.750 0.333 0.667 O
0.250 0.667 0.333 O
0.250 0.178 0.823 S
0.750 0.822 0.643 S
0.750 0.357 0.179 S
0.250 0.643 0.821 S
0.750 0.822 0.177 S
0.250 0.178 0.357 S
```

***

Entry from Alexandria via LeMat-Bulk: Sc4SO5 after structural relaxation (PBE).

Cell and atoms, written as POSCAR:
```
Sc4SO5
1.0
-1.928 -1.801 -1.924
5.225 -1.131 -4.177
0.904 -3.969 5.579
Sc S O
4 1 5
Direct
0.000 0.283 0.001 Sc
0.303 0.845 0.607 Sc
0.697 0.155 0.393 Sc
0.000 0.717 0.999 Sc
0.500 0.000 0.000 S
0.159 0.307 0.318 O
0.500 0.500 0.000 O
0.161 0.889 0.323 O
0.839 0.111 0.677 O
0.841 0.693 0.682 O
```

***

Entry from Alexandria via LeMat-Bulk: ScS2O after structural relaxation (PBE).

Cell and atoms, written as POSCAR:
```
ScS2O
1.0
-3.949 4.708 2.284
-0.432 6.223 2.015
-2.628 5.901 -1.117
S Sc O
2 1 1
Direct
0.905 0.905 0.905 S
0.095 0.095 0.095 S
0.500 0.500 0.500 Sc
0.000 0.000 0.000 O
```

***

Entry from Alexandria via LeMat-Bulk: Sc2SO2 after structural relaxation (PBE).

Cell and atoms, written as POSCAR:
```
Sc2SO2
1.0
0.214 -3.030 -1.493
2.625 -0.712 -2.014
5.281 -4.246 5.540
Sc S O
2 1 2
Direct
0.595 0.595 0.214 Sc
0.405 0.405 0.786 Sc
0.000 0.000 0.000 S
0.764 0.764 0.709 O
0.236 0.236 0.291 O
```

***

Entry from Alexandria via LeMat-Bulk: Sc4S5O after structural relaxation (PBE).

Cell and atoms, written as POSCAR:
```
Sc4S5O
1.0
3.468 0.000 0.000
0.000 6.666 -1.068
-1.734 -2.050 8.467
Sc S O
4 5 1
Direct
0.282 0.782 0.563 Sc
0.718 0.218 0.437 Sc
0.000 0.776 0.000 Sc
0.000 0.224 0.000 Sc
0.840 0.596 0.680 S
0.160 0.917 0.320 S
0.500 0.500 0.000 S
0.160 0.404 0.320 S
0.840 0.083 0.680 S
0.500 0.000 0.000 O
```

***

Entry from Alexandria via LeMat-Bulk: ScS2O after structural relaxation (PBE).

Cell and atoms, written as POSCAR:
```
ScS2O
1.0
-2.362 -3.788 2.057
0.002 -2.347 -4.319
4.435 -5.770 0.340
O S Sc
2 4 2
Direct
0.250 0.750 0.500 O
0.500 0.500 0.000 O
0.181 0.625 0.250 S
0.569 0.125 0.250 S
0.375 0.431 0.750 S
0.875 0.819 0.750 S
0.000 0.000 0.000 Sc
0.750 0.250 0.500 Sc
```

***

Entry from Alexandria via LeMat-Bulk: Sc2SO2 after structural relaxation (PBE).

Cell and atoms, written as POSCAR:
```
Sc2SO2
1.0
5.600 -0.071 -0.155
-1.232 5.464 -0.155
-2.053 -2.534 4.778
Sc O S
4 4 2
Direct
0.428 0.572 0.250 Sc
0.572 0.428 0.750 Sc
0.822 0.178 0.250 Sc
0.178 0.822 0.750 Sc
0.488 0.238 0.977 O
0.512 0.762 0.023 O
0.238 0.488 0.477 O
0.762 0.512 0.523 O
0.125 0.875 0.250 S
0.875 0.125 0.750 S
```

***

Entry from Alexandria via LeMat-Bulk: Sc3S2O after structural relaxation (PBE).

Cell and atoms, written as POSCAR:
```
Sc3S2O
1.0
3.772 0.000 0.000
0.000 5.535 0.000
-1.886 -2.768 5.758
S Sc O
2 3 1
Direct
0.855 0.600 0.709 S
0.145 0.891 0.291 S
0.662 0.613 0.324 Sc
0.000 0.089 0.000 Sc
0.338 0.289 0.676 Sc
0.500 0.261 0.000 O
```

***

Entry from Alexandria via LeMat-Bulk: Sc8Se4S3O after structural relaxation (PBE).

Cell and atoms, written as POSCAR:
```
Sc8Se4S3O
1.0
7.423 0.000 0.000
0.000 7.503 0.051
-3.711 -3.708 5.251
Se Sc O S
4 8 1 3
Direct
0.000 0.000 0.500 Se
0.500 0.000 0.000 Se
0.500 0.000 0.500 Se
0.000 0.000 0.000 Se
0.261 0.282 0.521 Sc
0.774 0.292 0.548 Sc
0.244 0.293 0.018 Sc
0.226 0.707 0.982 Sc
0.756 0.707 0.982 Sc
0.774 0.293 0.018 Sc
0.739 0.718 0.479 Sc
0.226 0.708 0.452 Sc
0.000 0.500 0.000 O
0.500 0.500 0.000 S
0.500 0.500 0.500 S
0.000 0.500 0.500 S
```

***

Entry from Alexandria via LeMat-Bulk: Sc8Se3S3O after structural relaxation (PBE).

Cell and atoms, written as POSCAR:
```
Sc8Se3S3O
1.0
7.366 0.000 0.000
-3.683 6.379 -0.022
0.000 -4.231 6.169
O Se Sc S
1 3 8 3
Direct
0.000 0.000 0.500 O
0.000 0.000 0.000 Se
0.000 0.500 0.000 Se
0.500 0.500 0.000 Se
0.767 0.986 0.706 Sc
0.220 0.986 0.706 Sc
0.220 0.440 0.706 Sc
0.780 0.560 0.294 Sc
0.780 0.014 0.294 Sc
0.261 0.522 0.283 Sc
0.233 0.014 0.294 Sc
0.739 0.478 0.717 Sc
0.000 0.500 0.500 S
0.500 0.000 0.500 S
0.500 0.500 0.500 S
```

***

Entry from Alexandria via LeMat-Bulk: Sm2ScS2O2 after structural relaxation (PBE).

Cell and atoms, written as POSCAR:
```
Sm2ScS2O2
1.0
4.066 0.000 0.000
0.000 4.066 0.000
-2.033 -2.033 7.319
Sm S O Sc
2 2 2 1
Direct
0.630 0.630 0.259 Sm
0.370 0.370 0.741 Sm
0.177 0.177 0.353 S
0.823 0.823 0.647 S
0.000 0.500 0.000 O
0.500 0.000 0.000 O
0.000 0.000 0.000 Sc
```

***

Entry from Alexandria via LeMat-Bulk: TmScS2O after structural relaxation (PBE).

Cell and atoms, written as POSCAR:
```
TmScS2O
1.0
-3.628 -0.092 0.890
0.573 -3.091 2.019
2.435 7.435 10.693
S O Tm Sc
4 2 2 2
Direct
0.000 0.500 0.703 S
0.500 0.000 0.910 S
0.000 0.500 0.090 S
0.500 0.000 0.297 S
0.500 0.500 0.500 O
0.000 0.000 0.500 O
0.500 0.000 0.586 Tm
0.000 0.500 0.414 Tm
0.500 0.000 0.119 Sc
0.000 0.500 0.881 Sc
```

***

Entry from Alexandria via LeMat-Bulk: ScUS2O after structural relaxation (PBE).

Cell and atoms, written as POSCAR:
```
ScUS2O
1.0
-2.839 -0.667 2.303
-1.607 -2.119 -2.595
6.244 -10.459 4.672
Sc S U O
2 4 2 2
Direct
0.000 0.500 0.902 Sc
0.500 0.000 0.098 Sc
0.500 0.000 0.897 S
0.000 0.500 0.702 S
0.000 0.500 0.103 S
0.500 0.000 0.298 S
0.500 0.000 0.606 U
0.000 0.500 0.394 U
0.500 0.500 0.500 O
0.000 0.000 0.500 O
```

***

Entry from Alexandria via LeMat-Bulk: Y2ScSO after structural relaxation (PBE).

Cell and atoms, written as POSCAR:
```
Y2ScSO
1.0
-0.060 -0.624 5.137
-4.250 -1.925 -0.283
2.153 -4.675 -0.543
Y O S Sc
2 1 1 1
Direct
0.000 0.000 0.500 Y
0.500 0.000 0.000 Y
0.500 0.500 0.500 O
0.000 0.000 0.000 S
0.000 0.500 0.000 Sc
```

***

Entry from Alexandria via LeMat-Bulk: YScS2O after structural relaxation (PBE).

Cell and atoms, written as POSCAR:
```
YScS2O
1.0
-1.224 0.220 3.571
3.494 -0.739 1.243
2.707 13.018 0.126
O S Sc Y
2 4 2 2
Direct
0.000 0.000 0.500 O
0.500 0.500 0.500 O
0.500 0.000 0.910 S
0.500 0.000 0.294 S
0.000 0.500 0.090 S
0.000 0.500 0.706 S
0.000 0.500 0.883 Sc
0.500 0.000 0.117 Sc
0.500 0.000 0.589 Y
0.000 0.500 0.411 Y
```

***

Entry from Alexandria via LeMat-Bulk: Y2ScS2O2 after structural relaxation (PBE).

Cell and atoms, written as POSCAR:
```
Y2ScS2O2
1.0
4.028 0.000 0.000
0.000 4.028 0.000
-2.014 -2.014 7.222
O S Y Sc
2 2 2 1
Direct
0.500 0.000 0.000 O
0.000 0.500 0.000 O
0.178 0.178 0.356 S
0.822 0.822 0.644 S
0.630 0.630 0.260 Y
0.370 0.370 0.740 Y
0.000 0.000 0.000 Sc
```

***

Entry from Alexandria via LeMat-Bulk: SeS2O after structural relaxation (PBE).

Cell and atoms, written as POSCAR:
```
SeS2O
1.0
2.712 -3.336 -0.339
-1.437 -3.812 -1.415
1.175 -1.438 -3.893
S O Se
2 1 1
Direct
0.750 0.750 0.750 S
0.250 0.250 0.250 S
0.000 0.000 0.000 O
0.500 0.500 0.500 Se
```

***

Entry from Alexandria via LeMat-Bulk: SeS2O after structural relaxation (PBE).

Cell and atoms, written as POSCAR:
```
SeS2O
1.0
2.086 0.000 6.860
-1.043 1.807 6.860
-1.043 -1.807 6.860
S O Se
2 1 1
Direct
0.084 0.084 0.084 S
0.916 0.916 0.916 S
0.000 0.000 0.000 O
0.500 0.500 0.500 Se
```

***

Entry from Alexandria via LeMat-Bulk: SeSO4 after structural relaxation (PBE).

Cell and atoms, written as POSCAR:
```
SeSO4
1.0
7.456 0.347 -1.267
-3.738 6.461 -1.267
-0.065 -0.119 5.072
O Se S
8 2 2
Direct
0.611 0.675 0.156 O
0.325 0.389 0.344 O
0.675 0.611 0.656 O
0.096 0.733 0.497 O
0.267 0.904 0.003 O
0.733 0.096 0.997 O
0.389 0.325 0.844 O
0.904 0.267 0.503 O
0.447 0.553 0.750 Se
0.553 0.447 0.250 Se
0.877 0.123 0.250 S
0.123 0.877 0.750 S
```

***

Entry from Alexandria via LeMat-Bulk: SeS2O after structural relaxation (PBE).

Cell and atoms, written as POSCAR:
```
SeS2O
1.0
1.745 0.000 7.917
-0.872 1.511 7.917
-0.872 -1.511 7.917
S Se O
2 1 1
Direct
0.101 0.101 0.101 S
0.899 0.899 0.899 S
0.000 0.000 0.000 Se
0.500 0.500 0.500 O
```

***

no.,uncorrected formation energy (kcal/mol of atoms),total magnetic moment (μB per cell)
1,-58.2,0.00
2,-41.9,0.12
3,-20.6,0.55
4,-51.9,0.00
5,-49.8,0.00
6,-69.8,0.00
7,-18.8,0.00
8,-66.4,0.00
9,-45.9,0.00
10,-8.5,0.00
11,-68.1,0.00
12,-45.3,0.00
13,-41.8,0.00
14,-39.4,0.00
15,-59.7,0.00
16,-57.2,0.00
17,-50.9,4.74
18,-8.3,1.68
19,-56.3,0.00
20,-58.5,0.00
21,23.0,0.00
22,8.0,0.00
23,-19.1,0.00
24,20.7,0.00